No. 1
This record from Alexandria via LeMat-Bulk describes an optimized crystal structure of LiCa2Zr. The functional is PBE.

Computed properties:
formation energy: 0.363 eV per atom
crystal system: tetragonal
energy above the most stable polymorph in this dataset: 120 meV per atom
total moment: 1.53 μB/cell
total energy: -13.014 eV per cell

a = 5.8350 Å, b = 5.8350 Å, c = 3.5405 Å
α = 90.00°, β = 90.00°, γ = 90.00°
Last column: nearest neighbours and their distance in Å.
Space group P4/mmm (No. 123)
Asymmetric unit:
Li: 0.0000 0.0000 0.0000 [1 per cell]  8 Ca 3.41, 2 Li 3.54
Ca: 0.0000 0.5000 0.5000 [2 per cell]  4 Zr 3.41, 4 Li 3.41, 2 Ca 3.54
Zr: 0.5000 0.5000 0.0000 [1 per cell]  8 Ca 3.41, 2 Zr 3.54

=====

No. 2
This record from Alexandria via LeMat-Bulk describes an optimized crystal structure of LiCaZr3. The functional is PBE.

Computed properties:
formation energy: 1.599 eV per atom
crystal system: cubic
energy above the most stable polymorph in this dataset: 860 meV per atom
total moment: 0.00 μB/cell
total energy: -21.563 eV per cell

a = 5.1960 Å, b = 5.1960 Å, c = 5.1960 Å
α = 90.00°, β = 90.00°, γ = 90.00°
Last column: nearest neighbours and their distance in Å.
Space group Pm-3m (No. 221)
Asymmetric unit:
Li: 0.0000 0.0000 0.0000 [1 per cell]  12 Zr 3.67
Ca: 0.5000 0.5000 0.5000 [1 per cell]  6 Zr 2.60
Zr: 0.0000 0.5000 0.5000 [3 per cell]  2 Ca 2.60

=====

No. 3
This record from Alexandria via LeMat-Bulk describes an optimized crystal structure of LiCa2Zr. The functional is PBE.

Computed properties:
formation energy: 0.393 eV per atom
crystal system: orthorhombic
energy above the most stable polymorph in this dataset: 150 meV per atom
total moment: 1.10 μB/cell
total energy: -12.893 eV per cell

a = 3.3716 Å, b = 5.1088 Å, c = 6.9405 Å
α = 90.00°, β = 90.00°, γ = 90.00°
Last column: nearest neighbours and their distance in Å.
Space group Pmm2 (No. 25)
Asymmetric unit:
Li: 0.0000 0.0000 0.0000 [1 per cell]  1 Ca 3.08, 2 Li 3.37, 4 Zr 3.42
Ca: 0.0000 0.0000 0.4438 [1 per cell]  1 Li 3.08, 2 Ca 3.37, 4 Zr 3.43
Ca: 0.5000 0.5000 0.7433 [1 per cell]  2 Zr 3.30-3.64, 6 Ca 3.37-3.70, 4 Li 3.54
Zr: 0.5000 0.5000 0.2193 [1 per cell]  6 Ca 3.30-3.64, 2 Zr 3.37, 4 Li 3.42